No. 1
Here is a geometry-optimized LuTlZn2 structure from Alexandria. Energies are from PBE.

Structure (POSCAR):
```
LuTlZn2
1.0
0.000 3.464 3.464
3.464 0.000 3.464
3.464 3.464 0.000
Lu Tl Zn
1 1 2
Direct
0.000 0.000 0.000
0.500 0.500 0.500
0.250 0.250 0.250
0.750 0.750 0.750
```

* distance to the lowest polymorph of the same formula: 0.073 eV/atom
* ΔE_f: -91 meV per atom
* calculated total energy: -2.4493 eV per atom



No. 2
Here is a geometry-optimized LuTlZn2 structure from Alexandria. Energies are from PBE.

Structure (POSCAR):
```
LuTlZn2
1.0
4.528 0.000 0.000
0.000 4.528 0.000
0.000 0.000 4.058
Lu Tl Zn
1 1 2
Direct
0.000 0.000 0.000
0.500 0.500 0.000
0.000 0.500 0.500
0.500 0.000 0.500
```

* distance to the lowest polymorph of the same formula: 0.000 eV/atom
* ΔE_f: -164 meV per atom
* calculated total energy: -2.5224 eV per atom



No. 3
Here is a geometry-optimized Lu2TlZn structure from Alexandria. Energies are from PBE.

Structure (POSCAR):
```
Lu2TlZn
1.0
0.000 3.623 3.623
3.623 0.000 3.623
3.623 3.623 0.000
Lu Tl Zn
2 1 1
Direct
0.250 0.250 0.250
0.750 0.750 0.750
0.000 0.000 0.000
0.500 0.500 0.500
```

* ΔE_f: -281 meV per atom
* calculated total energy: -3.4516 eV per atom



No. 4
Here is a geometry-optimized Lu2ZrTl structure from Alexandria. Energies are from PBE.

Structure (POSCAR):
```
Lu2ZrTl
1.0
1.712 0.988 10.463
-1.712 0.988 10.463
0.000 -1.977 10.463
Lu Zr Tl
2 1 1
Direct
0.249 0.249 0.249
0.751 0.751 0.751
0.500 0.500 0.500
0.000 0.000 0.000
```

* distance to the lowest polymorph of the same formula: 0.062 eV/atom
* ΔE_f: -88 meV per atom
* calculated total energy: -5.0773 eV per atom



No. 5
Here is a geometry-optimized LuZrTl structure from Alexandria. Energies are from PBE.

Structure (POSCAR):
```
LuZrTl
1.0
5.105 0.000 0.000
-2.552 4.421 0.000
0.000 0.000 3.441
Lu Zr Tl
1 1 1
Direct
0.000 0.000 0.000
0.667 0.333 0.500
0.333 0.667 0.500
```

* distance to the lowest polymorph of the same formula: 0.176 eV/atom
* ΔE_f: 49 meV per atom
* calculated total energy: -5.0965 eV per atom



No. 6
Here is a geometry-optimized LuZr2Tl structure from Alexandria. Energies are from PBE.

Structure (POSCAR):
```
LuZr2Tl
1.0
3.286 0.000 0.000
0.000 3.286 0.000
0.000 0.000 9.090
Lu Zr Tl
1 2 1
Direct
0.000 0.000 0.000
0.500 0.500 0.261
0.500 0.500 0.739
0.000 0.000 0.500
```

* distance to the lowest polymorph of the same formula: 0.097 eV/atom
* ΔE_f: 18 meV per atom
* calculated total energy: -5.9784 eV per atom